Computed, not measured: an optimized crystal structure of CuTcSeO2 at the GGA-PBE level of DFT.

## Properties
symmetry = P4/mmm
formation energy from raw total energies = 0.679 eV/atom
distance to the lowest polymorph of the same formula = 0 meV per atom
raw total energy = -4.89 eV per atom

The structure in POSCAR format:
```
CuTcSeO2
1.0
3.9318 0.0000 0.0000
0.0000 4.6183 0.0000
0.0000 0.0000 3.9318
O Se Cu Tc
2 1 1 1
Direct
0.5000 0.0000 0.0000 O
0.0000 0.0000 0.5000 O
0.0000 0.0000 0.0000 Se
0.0000 0.5000 0.0000 Cu
0.5000 0.5000 0.5000 Tc
```

Computed, not measured: an optimized crystal structure of CuTcSeO2 at the GGA-PBE level of DFT.

## Properties
symmetry = P4/mmm
formation energy from raw total energies = 0.683 eV/atom
distance to the lowest polymorph of the same formula = 3 meV per atom
raw total energy = -4.89 eV per atom

The structure in POSCAR format:
```
CuTcSeO2
1.0
-3.2880 0.1019 -1.9293
0.7338 -4.8257 -1.5054
-1.8527 -1.2462 3.0916
O Cu Tc Se
2 1 1 1
Direct
0.5000 0.0000 0.0000 O
0.0000 0.0000 0.5000 O
0.5000 0.5000 0.5000 Cu
0.0000 0.5000 0.0000 Tc
0.0000 0.0000 0.0000 Se
```

Computed, not measured: an optimized crystal structure of TiCuSeO5 at the GGA-PBE level of DFT.

## Properties
symmetry = C2/c
formation energy from raw total energies = -1.410 eV/atom
raw total energy = -6.44 eV per atom

The structure in POSCAR format:
```
TiCuSeO5
1.0
-2.9216 -4.4418 1.3969
3.2736 -0.5409 4.3826
-4.3201 6.3970 0.6062
Cu O Se Ti
2 10 2 2
Direct
0.7290 0.2710 0.7500 Cu
0.2710 0.7290 0.2500 Cu
0.3112 0.3172 0.6560 O
0.2530 0.7591 0.5032 O
0.2409 0.7470 0.9968 O
0.7591 0.2530 0.0032 O
0.6888 0.6828 0.3440 O
0.9845 0.0155 0.7500 O
0.6828 0.6888 0.8440 O
0.7470 0.2409 0.4968 O
0.0155 0.9845 0.2500 O
0.3172 0.3112 0.1560 O
0.6582 0.3418 0.2500 Se
0.3418 0.6582 0.7500 Se
0.0000 0.0000 0.5000 Ti
0.0000 0.0000 0.0000 Ti
```

Computed, not measured: an optimized crystal structure of Tl3CuSe2O6 at the GGA-PBE level of DFT.

## Properties
symmetry = P-3m1
formation energy from raw total energies = -0.665 eV/atom
raw total energy = -4.66 eV per atom

The structure in POSCAR format:
```
Tl3CuSe2O6
1.0
-5.1351 0.9716 -2.9480
2.1339 -5.5811 0.5502
-3.6861 -0.8025 6.1562
O Tl Cu Se
6 3 1 2
Direct
0.1810 0.8190 0.3084 O
0.8190 0.6380 0.6916 O
0.8190 0.1810 0.6916 O
0.6380 0.8190 0.3084 O
0.3620 0.1810 0.6916 O
0.1810 0.3620 0.3084 O
0.0000 0.0000 0.0000 Tl
0.3333 0.6667 0.6655 Tl
0.6667 0.3333 0.3345 Tl
0.0000 0.0000 0.5000 Cu
0.3333 0.6667 0.2076 Se
0.6667 0.3333 0.7924 Se
```

Computed, not measured: an optimized crystal structure of Tl3CuSe2O8 at the GGA-PBE level of DFT.

## Properties
symmetry = P-3m1
formation energy from raw total energies = -0.673 eV/atom
raw total energy = -4.80 eV per atom

The structure in POSCAR format:
```
Tl3CuSe2O8
1.0
5.9421 0.0000 0.0000
-2.9710 5.1460 0.0000
0.0000 0.0000 7.8396
O Tl Se Cu
8 3 2 1
Direct
0.6667 0.3333 0.9596 O
0.3538 0.1769 0.6732 O
0.1769 0.3538 0.3268 O
0.3333 0.6667 0.0404 O
0.1769 0.8231 0.3268 O
0.8231 0.6462 0.6732 O
0.8231 0.1769 0.6732 O
0.6462 0.8231 0.3268 O
0.0000 0.0000 0.0000 Tl
0.3333 0.6667 0.6940 Tl
0.6667 0.3333 0.3060 Tl
0.3333 0.6667 0.2534 Se
0.6667 0.3333 0.7466 Se
0.0000 0.0000 0.5000 Cu
```

Computed, not measured: an optimized crystal structure of TlCuSe2O6 at the GGA-PBE level of DFT.

## Properties
symmetry = R-3
formation energy from raw total energies = -0.596 eV/atom
raw total energy = -4.91 eV per atom

The structure in POSCAR format:
```
TlCuSe2O6
1.0
-5.2573 -1.2032 -1.1359
-1.2254 -3.1783 -4.3329
-1.7871 -6.4482 1.7300
O Tl Cu Se
6 1 1 2
Direct
0.6822 0.0981 0.6973 O
0.3178 0.9019 0.3027 O
0.4776 0.3178 0.3027 O
0.9019 0.4776 0.3027 O
0.0981 0.5224 0.6973 O
0.5224 0.6822 0.6973 O
0.0000 0.0000 0.0000 Tl
0.5000 0.5000 0.5000 Cu
0.2607 0.2607 0.2179 Se
0.7393 0.7393 0.7821 Se
```

Computed, not measured: an optimized crystal structure of Tl2Cu3Se6O18 at the GGA-PBE level of DFT.

## Properties
symmetry = P-1
formation energy from raw total energies = -0.710 eV/atom
raw total energy = -5.10 eV per atom

The structure in POSCAR format:
```
Tl2Cu3Se6O18
1.0
-2.5141 -3.9049 -1.1750
3.8153 -1.6777 -9.0211
7.8907 -6.8159 0.2318
O Tl Se Cu
18 2 6 3
Direct
0.9151 0.2536 0.6443 O
0.4933 0.3694 0.1906 O
0.8653 0.5034 0.2715 O
0.6198 0.3153 0.9000 O
0.2527 0.1537 0.9194 O
0.5067 0.6306 0.8094 O
0.4151 0.4226 0.4283 O
0.0930 0.3621 0.0369 O
0.7473 0.8463 0.0806 O
0.5862 0.8896 0.3597 O
0.0849 0.7464 0.3557 O
0.4138 0.1104 0.6403 O
0.5849 0.5774 0.5717 O
0.0052 0.9662 0.8293 O
0.1347 0.4966 0.7285 O
0.3802 0.6847 0.1000 O
0.9948 0.0338 0.1707 O
0.9070 0.6379 0.9631 O
0.4309 0.3195 0.6780 Tl
0.5691 0.6805 0.3220 Tl
0.3717 0.2238 0.0304 Se
0.9363 0.9219 0.3431 Se
0.3291 0.6471 0.6696 Se
0.6283 0.7762 0.9696 Se
0.6709 0.3529 0.3304 Se
0.0637 0.0781 0.6569 Se
0.2008 0.5210 0.0942 Cu
0.7992 0.4790 0.9058 Cu
0.0000 0.0000 0.0000 Cu
```

Computed, not measured: an optimized crystal structure of TlCuSeO4 at the GGA-PBE level of DFT.

## Properties
symmetry = I-4
formation energy from raw total energies = -0.618 eV/atom
raw total energy = -4.87 eV per atom

The structure in POSCAR format:
```
TlCuSeO4
1.0
6.2238 0.0000 0.0000
0.0000 6.2238 0.0000
-3.1119 -3.1119 3.2225
Cu Tl O Se
1 1 4 1
Direct
0.5000 0.5000 0.0000 Cu
0.0000 0.0000 0.0000 Tl
0.8960 0.5011 0.2002 O
0.3041 0.6991 0.2002 O
0.4989 0.6959 0.7998 O
0.3009 0.1040 0.7998 O
0.2500 0.7500 0.5000 Se
```

Computed, not measured: an optimized crystal structure of TlCuSe2O8 at the GGA-PBE level of DFT.

## Properties
symmetry = R-3
formation energy from raw total energies = -0.569 eV/atom
raw total energy = -4.99 eV per atom

The structure in POSCAR format:
```
TlCuSe2O8
1.0
-1.9815 -3.3492 -3.1248
-1.5004 -4.4375 1.7221
-9.1258 0.6909 1.0610
O Se Cu Tl
8 2 1 1
Direct
0.2642 0.9755 0.1388 O
0.3784 0.7358 0.8612 O
0.9755 0.6216 0.1388 O
0.7954 0.7954 0.6138 O
0.7358 0.0245 0.8612 O
0.2046 0.2046 0.3862 O
0.0245 0.3784 0.8612 O
0.6216 0.2642 0.1388 O
0.2680 0.2680 0.1961 Se
0.7320 0.7320 0.8039 Se
0.0000 0.0000 0.0000 Cu
0.5000 0.5000 0.5000 Tl
```

Computed, not measured: an optimized crystal structure of TlCu4Se3O12 at the GGA-PBE level of DFT.

## Properties
symmetry = Im-3
formation energy from raw total energies = -0.314 eV/atom
raw total energy = -4.75 eV per atom

The structure in POSCAR format:
```
TlCu4Se3O12
1.0
6.5594 0.0000 0.0000
-2.1865 6.1843 0.0000
-2.1865 -3.0921 5.3558
Cu O Se Tl
4 12 3 1
Direct
0.0000 0.5000 0.0000 Cu
0.5000 0.5000 0.5000 Cu
0.0000 0.0000 0.5000 Cu
0.5000 0.0000 0.0000 Cu
0.8669 0.6930 0.1739 O
0.6930 0.8261 0.5191 O
0.1331 0.3070 0.8261 O
0.3070 0.8261 0.1331 O
0.6930 0.1739 0.8669 O
0.4809 0.3070 0.1739 O
0.3070 0.1739 0.4809 O
0.1739 0.4809 0.3070 O
0.8261 0.1331 0.3070 O
0.5191 0.6930 0.8261 O
0.1739 0.8669 0.6930 O
0.8261 0.5191 0.6930 O
0.5000 0.0000 0.5000 Se
0.5000 0.5000 0.0000 Se
0.0000 0.5000 0.5000 Se
0.0000 0.0000 0.0000 Tl
```

Computed, not measured: an optimized crystal structure of UCu2SeO8 at the GGA-PBE level of DFT.

## Properties
symmetry = I-4m2
formation energy from raw total energies = -1.069 eV/atom
raw total energy = -6.29 eV per atom

The structure in POSCAR format:
```
UCu2SeO8
1.0
-3.6112 2.6768 3.7574
-2.1798 -5.4363 0.1394
5.6667 0.3556 1.4445
U O Se Cu
1 8 1 2
Direct
0.2500 0.7500 0.5000 U
0.4687 0.6756 0.7931 O
0.8824 0.6756 0.2069 O
0.9335 0.6635 0.7300 O
0.3365 0.0665 0.2700 O
0.3244 0.1176 0.7931 O
0.3244 0.5313 0.2069 O
0.9335 0.2035 0.2700 O
0.7965 0.0665 0.7300 O
0.0000 0.0000 0.0000 Se
0.7500 0.2500 0.5000 Cu
0.5000 0.5000 0.0000 Cu
```

Computed, not measured: an optimized crystal structure of Y2CuSe2O2 at the GGA-PBE level of DFT.

## Properties
symmetry = P-3m1
formation energy from raw total energies = -2.052 eV/atom
raw total energy = -6.90 eV per atom

The structure in POSCAR format:
```
Y2CuSe2O2
1.0
-3.7137 -0.6033 -0.6735
2.5801 -0.7351 -2.7224
1.0322 -10.6591 3.8565
Se Y Cu O
2 2 1 2
Direct
0.0000 0.0000 0.8042 Se
0.0000 0.0000 0.1958 Se
0.3333 0.6667 0.6278 Y
0.6667 0.3333 0.3722 Y
0.0000 0.0000 0.0000 Cu
0.6667 0.3333 0.5769 O
0.3333 0.6667 0.4231 O
```

Computed, not measured: an optimized crystal structure of YCu2SeO2 at the GGA-PBE level of DFT.

## Properties
symmetry = P4/mmm
formation energy from raw total energies = -0.437 eV/atom
raw total energy = -5.11 eV per atom

The structure in POSCAR format:
```
YCu2SeO2
1.0
-3.2488 -1.6751 -0.3323
0.0744 -0.8523 3.5692
-5.5598 10.2738 2.5693
O Cu Y Se
2 2 1 1
Direct
0.5000 0.5000 0.3295 O
0.5000 0.5000 0.6705 O
0.5000 0.5000 0.1822 Cu
0.5000 0.5000 0.8178 Cu
0.5000 0.5000 0.5000 Y
0.5000 0.5000 0.0000 Se
```

Computed, not measured: an optimized crystal structure of Y2CuSe2O at the GGA-PBE level of DFT.

## Properties
symmetry = P4/mmm
formation energy from raw total energies = -0.552 eV/atom
raw total energy = -5.38 eV per atom

The structure in POSCAR format:
```
Y2CuSe2O
1.0
-3.3833 1.0170 -0.6773
-0.9579 -0.9695 3.3290
2.9547 12.8975 4.6063
Se Cu Y O
2 1 2 1
Direct
0.5000 0.5000 0.8414 Se
0.5000 0.5000 0.1586 Se
0.5000 0.5000 0.0000 Cu
0.5000 0.5000 0.3550 Y
0.5000 0.5000 0.6450 Y
0.5000 0.5000 0.5000 O
```

Computed, not measured: an optimized crystal structure of ZnCuSe2O8 at the GGA-PBE level of DFT.

## Properties
symmetry = I-4m2
formation energy from raw total energies = -0.543 eV/atom
raw total energy = -4.88 eV per atom

The structure in POSCAR format:
```
ZnCuSe2O8
1.0
-3.1889 1.5478 4.5261
-0.5936 -5.4542 -1.7175
5.4906 0.6193 1.5878
O Se Cu Zn
8 2 1 1
Direct
0.3836 0.0689 0.3146 O
0.9311 0.2457 0.3146 O
0.3224 0.1364 0.8140 O
0.3224 0.5084 0.1860 O
0.9311 0.6164 0.6854 O
0.8636 0.6776 0.1860 O
0.4916 0.6776 0.8140 O
0.7543 0.0689 0.6854 O
0.5000 0.5000 0.0000 Se
0.7500 0.2500 0.5000 Se
0.0000 0.0000 0.0000 Cu
0.2500 0.7500 0.5000 Zn
```

Computed, not measured: an optimized crystal structure of CuSi2O at the GGA-PBE level of DFT.

## Properties
symmetry = I-42d
formation energy from raw total energies = -0.208 eV/atom
raw total energy = -5.18 eV per atom

The structure in POSCAR format:
```
CuSi2O
1.0
4.4698 0.0000 0.0000
0.0000 4.4698 0.0000
2.2349 2.2349 5.6380
Cu O Si
2 2 4
Direct
0.7500 0.2500 0.5000 Cu
0.0000 0.0000 0.0000 Cu
0.2500 0.7500 0.5000 O
0.5000 0.5000 0.0000 O
0.2233 0.6250 0.2500 Si
0.3750 0.4733 0.7500 Si
0.8750 0.7767 0.7500 Si
0.5267 0.1250 0.2500 Si
```

Computed, not measured: an optimized crystal structure of CuSiO3 at the GGA-PBE level of DFT.

## Properties
symmetry = R-3
formation energy from raw total energies = -1.845 eV/atom
raw total energy = -6.72 eV per atom

The structure in POSCAR format:
```
CuSiO3
1.0
8.8392 -0.0106 -0.0029
-3.2693 8.2117 -0.0186
-3.2872 -4.8231 6.6377
Si Cu O
6 6 18
Direct
0.7877 0.9200 0.1787 Si
0.0800 0.8213 0.2122 Si
0.2123 0.0800 0.8213 Si
0.1786 0.7878 0.9200 Si
0.9200 0.1787 0.7879 Si
0.8214 0.2122 0.0800 Si
0.9536 0.3428 0.5354 Cu
0.6573 0.4646 0.0465 Cu
0.0464 0.6572 0.4646 Cu
0.5354 0.9536 0.3428 Cu
0.4646 0.0464 0.6572 Cu
0.3427 0.5354 0.9535 Cu
0.0139 0.9737 0.2657 O
0.6774 0.0613 0.6267 O
0.9738 0.2657 0.0141 O
0.3733 0.3226 0.9384 O
0.7885 0.0505 0.3698 O
0.0262 0.7343 0.9859 O
0.6303 0.2115 0.9495 O
0.2115 0.9495 0.6302 O
0.3697 0.7885 0.0505 O
0.0504 0.3697 0.7885 O
0.3226 0.9387 0.3733 O
0.9387 0.3733 0.3226 O
0.0613 0.6267 0.6774 O
0.9496 0.6303 0.2115 O
0.7341 0.9859 0.0263 O
0.2659 0.0141 0.9737 O
0.6267 0.6774 0.0616 O
0.9861 0.0263 0.7343 O
```

Computed, not measured: an optimized crystal structure of CuSiO2 at the GGA-PBE level of DFT.

## Properties
symmetry = R-3m
formation energy from raw total energies = -1.610 eV/atom
raw total energy = -6.47 eV per atom

The structure in POSCAR format:
```
CuSiO2
1.0
-0.2464 -2.3401 -1.2282
-0.7493 -2.1459 1.3708
-8.8600 0.3405 -1.7399
O Cu Si
2 1 1
Direct
0.8680 0.8680 0.3959 O
0.1320 0.1320 0.6041 O
0.0000 0.0000 0.0000 Cu
0.5000 0.5000 0.5000 Si
```

Computed, not measured: an optimized crystal structure of CuSiO2 at the GGA-PBE level of DFT.

## Properties
symmetry = R-3m
formation energy from raw total energies = -0.807 eV/atom
raw total energy = -5.67 eV per atom

The structure in POSCAR format:
```
CuSiO2
1.0
0.1428 -5.9362 -0.3193
2.6107 -5.2246 1.1172
0.0530 -5.3641 2.5660
O Cu Si
2 1 1
Direct
0.9039 0.9039 0.9039 O
0.0961 0.0961 0.0961 O
0.5000 0.5000 0.5000 Cu
0.0000 0.0000 0.0000 Si
```

Computed, not measured: an optimized crystal structure of CuSiO3 at the GGA-PBE level of DFT.

## Properties
symmetry = Pm-3m
formation energy from raw total energies = 0.006 eV/atom
raw total energy = -4.87 eV per atom

The structure in POSCAR format:
```
CuSiO3
1.0
3.6863 0.0000 0.0000
0.0000 3.6863 0.0000
0.0000 0.0000 3.6863
O Si Cu
3 1 1
Direct
0.0000 0.0000 0.5000 O
0.0000 0.5000 0.0000 O
0.5000 0.0000 0.0000 O
0.5000 0.5000 0.5000 Si
0.0000 0.0000 0.0000 Cu
```